A plane-wave DFT calculation with PBE was carried out for Dy3Hg2C after structural relaxation.

Cell lengths 8.142, 8.142, 3.513 Å; angles 90.00, 90.00, 144.04 degrees
Fractional coordinates of all 6 atoms:
Dy 0.000 0.000 0.000
Dy 0.387 0.613 0.500
Dy 0.613 0.387 0.500
Hg 0.198 0.802 0.000
Hg 0.802 0.198 0.000
C 0.500 0.500 0.000

Calculated values
- D(E_F) (states/eV per cell) = 4.85
- relative energy among the computed polymorphs (eV per atom) = 0.000
- calculated volume (A^3/atom) = 22.8
- ΔH_f (0 K) (eV per atom) = -0.41

***

A plane-wave DFT calculation with PBE was carried out for SmZn6Ag12 after structural relaxation.

Cell lengths 7.431, 7.431, 7.431 Å; angles 104.67, 104.67, 104.67 degrees
Fractional coordinates of all 19 atoms:
Sm 0.000 0.000 0.000
Zn 0.279 0.279 0.702
Zn 0.279 0.702 0.279
Zn 0.298 0.721 0.721
Zn 0.702 0.279 0.279
Zn 0.721 0.298 0.721
Zn 0.721 0.721 0.298
Ag 0.116 0.500 0.884
Ag 0.116 0.884 0.500
Ag 0.135 0.385 0.385
Ag 0.385 0.135 0.385
Ag 0.385 0.385 0.135
Ag 0.500 0.116 0.884
Ag 0.500 0.884 0.116
Ag 0.615 0.615 0.865
Ag 0.615 0.865 0.615
Ag 0.865 0.615 0.615
Ag 0.884 0.116 0.500
Ag 0.884 0.500 0.116

Calculated values
- D(E_F) (states/eV per cell) = 7.30
- calculated volume (A^3/atom) = 19.0
- ΔH_f (0 K) (eV per atom) = 0.04

***

A plane-wave DFT calculation with PBE was carried out for AcHg2O4 after structural relaxation.

Cell lengths 8.324, 8.324, 8.324 Å; angles 29.96, 29.96, 29.96 degrees
Fractional coordinates of all 7 atoms:
Ac 0.000 0.000 0.000
Hg 0.213 0.213 0.213
Hg 0.787 0.787 0.787
O 0.123 0.123 0.123
O 0.300 0.300 0.300
O 0.700 0.700 0.700
O 0.877 0.877 0.877

Calculated values
- D(E_F) (states/eV per cell) = 3.67
- calculated volume (A^3/atom) = 18.2
- raw formation energy (eV per atom) = -1.295

***

Repeat the first record exactly.
A plane-wave DFT calculation with PBE was carried out for Dy3Hg2C after structural relaxation.

Cell lengths 8.142, 8.142, 3.513 Å; angles 90.00, 90.00, 144.04 degrees
Fractional coordinates of all 6 atoms:
Dy 0.000 0.000 0.000
Dy 0.387 0.613 0.500
Dy 0.613 0.387 0.500
Hg 0.198 0.802 0.000
Hg 0.802 0.198 0.000
C 0.500 0.500 0.000

Calculated values
- D(E_F) (states/eV per cell) = 4.85
- relative energy among the computed polymorphs (eV per atom) = 0.000
- calculated volume (A^3/atom) = 22.8
- ΔH_f (0 K) (eV per atom) = -0.41

***

> Among the records above, which one has the lowest calculated volume?

AcHg2O4